Entry from the Alexandria database: SmPa2Zn9 after structural relaxation (GGA-PBE).

Cell lengths 5.355, 5.355, 9.350 Å; angles 73.36, 73.36, 60.00 degrees
Each line ends with the local moment (μB).
Atoms (fractional coordinates):
Sm1 0.000 0.000 0.000  0.00
Pa1 0.850 0.850 0.450  0.56
Pa2 0.150 0.150 0.550  0.56
Zn1 0.664 0.664 0.007  0.00
Zn2 0.336 0.336 0.993  0.00
Zn3 0.500 0.500 0.500  0.00
Zn4 0.416 0.416 0.245  0.00
Zn5 0.923 0.416 0.245  0.00
Zn6 0.416 0.923 0.245  0.00
Zn7 0.584 0.584 0.755  0.00
Zn8 0.584 0.077 0.755  0.00
Zn9 0.077 0.584 0.755  0.00

Calculated formation energy in eV per formula unit: -2.01
Calculated volume in Å³/cell: 219.1
Total magnetization in μB/f.u.: 1.254



Entry from the Alexandria database: Sm2PaZn after structural relaxation (GGA-PBE).

Cell lengths 3.456, 3.456, 8.830 Å; angles 90.00, 90.00, 90.00 degrees
Atoms (fractional coordinates):
Zn1 0.500 0.500 0.000
Pa1 0.500 0.500 0.500
Sm1 0.000 0.000 0.775
Sm2 0.000 0.000 0.225

Calculated formation energy in eV per formula unit: -0.09
Calculated volume in Å³/cell: 105.5
Relative energy among the computed polymorphs in meV/atom: 0.0
Total magnetization in μB/f.u.: 0.001



Entry from the Alexandria database: Sm2PaZn after structural relaxation (GGA-PBE).

Cell lengths 3.296, 3.296, 11.622 Å; angles 81.85, 81.85, 60.00 degrees
Atoms (fractional coordinates):
Zn1 0.500 0.500 0.500
Pa1 0.000 0.000 0.000
Sm1 0.095 0.095 0.714
Sm2 0.905 0.905 0.286

Calculated formation energy in eV per formula unit: 1.08
Calculated volume in Å³/cell: 107.8
Relative energy among the computed polymorphs in meV/atom: 293.4
Total magnetization in μB/f.u.: 0.000



Entry from the Alexandria database: SmPaZn2 after structural relaxation (GGA-PBE).

Cell lengths 3.264, 5.279, 5.279 Å; angles 90.00, 90.00, 90.00 degrees
Each line ends with the local moment (μB).
Atoms (fractional coordinates):
Zn1 0.000 0.000 0.500  0.01
Zn2 0.000 0.500 0.000  0.01
Pa1 0.500 0.500 0.500  0.67
Sm1 0.500 0.000 0.000  -0.04

Calculated formation energy in eV per formula unit: -0.19
Calculated volume in Å³/cell: 91.0
Relative energy among the computed polymorphs in meV/atom: 40.3
Total magnetization in μB/f.u.: 0.759



- total magnetization of number 3 (Sm2PaZn)?
  0.000 μB/f.u.